Record 1
ScTlOs2 | meta-GGA SCAN | single point on PBEsol structure

The space group is F-43m (No. 216) and the conventional cell measures 6.4561, 6.4561 and 6.4561 Å, with angles of 90.00, 90.00 and 90.00 degrees. The distinct sites, in fractional coordinates, are Sc at (0.0000, 0.0000, 0.0000), Tl at (0.2500, 0.2500, 0.7500), Os at (0.0000, 0.0000, 0.5000) and Os at (0.2500, 0.2500, 0.2500).

The formation energy is 454 meV/atom. For the size of the total moment, the calculation gives 7.72 μB/cell.

***

Record 2
Hg2GeSeF | meta-GGA SCAN | single point on PBEsol structure

The space group is P4/mmm (No. 123) and the conventional cell measures 5.0975, 5.0975 and 4.1900 Å, with angles of 90.00, 90.00 and 90.00 degrees. The distinct sites, in fractional coordinates, are Hg at (0.0000, 0.5000, 0.0000), Ge at (0.0000, 0.0000, 0.5000), Se at (0.5000, 0.5000, 0.5000) and F at (0.5000, 0.5000, 0.0000).

For the size of the total moment, the calculation gives 0.00 μB/cell. The value obtained for the total DFT energy (no corrections) is -1.309 hartree per atom.

***

Record 3
Zn2IrOs | meta-GGA SCAN | single point on PBEsol structure

The space group is R-3m (No. 166, hexagonal axes) and the conventional cell measures 2.7451, 2.7451 and 25.2189 Å, with angles of 90.00, 90.00 and 120.00 degrees. The distinct sites, in fractional coordinates, are Zn at (0.0000, 0.0000, 0.2494), Ir at (0.0000, 0.0000, 0.5000) and Os at (0.0000, 0.0000, 0.0000).

For the excess energy over the best structure of this formula in the dataset, the calculation gives 0 meV per atom. The formation energy is 32 meV/atom. For the size of the total moment, the calculation gives 0.00 μB/cell.